# 1
CaINO2 | PBE-GGA | optimized geometry

Cell: 4.2604 4.2604 4.1686 Å, 90.00 90.00 90.00°
Closest atoms and distances in Å follow each position.
Positions (direct):
1 Ca 0.0000 0.0000 0.0000  8 O 2.98, 4 I 3.01
2 I 0.5000 0.5000 0.0000  2 N 2.08
3 N 0.5000 0.5000 0.5000  2 I 2.08, 4 O 2.13
4 O 0.0000 0.5000 0.5000  2 N 2.13
5 O 0.5000 0.0000 0.5000  2 N 2.13

Properties
VASP energy ... -4.06 eV/atom
SG ... P4/mmm (123)
Uncorrected formation energy ... 300 meV per atom

---

# 2
CaINO2 | PBE-GGA | optimized geometry

Cell: 4.3629 4.3629 7.0277 Å, 90.00 90.00 90.00°
Closest atoms and distances in Å follow each position.
Positions (direct):
1 Ca 0.0000 0.0000 0.0000  4 O 2.18
2 I 0.0000 0.0000 0.5000  4 N 3.09
3 N 0.5000 0.5000 0.5000  4 I 3.09
4 O 0.0000 0.5000 0.0000  2 Ca 2.18
5 O 0.5000 0.0000 0.0000  2 Ca 2.18

Properties
VASP energy ... -3.80 eV/atom
SG ... P4/mmm (123)
Uncorrected formation energy ... 561 meV per atom

---

# 3
CaINO2 | PBE-GGA | optimized geometry

Cell: 4.3500 4.3500 4.9936 Å, 90.00 90.00 90.00°
Closest atoms and distances in Å follow each position.
Positions (direct):
1 Ca 0.0000 0.0000 0.0000  4 O 2.17
2 I 0.5000 0.5000 0.5000  4 N 3.08, 8 O 3.31
3 N 0.0000 0.0000 0.5000  2 Ca 2.50
4 O 0.0000 0.5000 0.0000  2 Ca 2.17
5 O 0.5000 0.0000 0.0000  2 Ca 2.17

Properties
VASP energy ... -3.79 eV/atom
SG ... P4/mmm (123)
Uncorrected formation energy ... 573 meV per atom

---

# 4
CaPIN2 | PBE-GGA | optimized geometry

Cell: 3.9542 3.9542 5.5515 Å, 90.00 90.00 90.00°
Closest atoms and distances in Å follow each position.
Positions (direct):
1 Ca 0.0000 0.0000 0.0000  4 I 2.80
2 P 0.5000 0.5000 0.5000  4 N 1.98
3 I 0.5000 0.5000 0.0000  2 P 2.78, 4 Ca 2.80
4 N 0.0000 0.5000 0.5000  2 P 1.98
5 N 0.5000 0.0000 0.5000  2 P 1.98

Properties
VASP energy ... -4.39 eV/atom
SG ... P4/mmm (123)
ΔE to the lowest computed polymorph ... 0 kJ/mol of formula units
Uncorrected formation energy ... 736 meV per atom

---

# 5
CaPI2N | PBE-GGA | optimized geometry

Cell: 5.9682 5.9682 3.5570 Å, 90.00 90.00 90.00°
Closest atoms and distances in Å follow each position.
Positions (direct):
1 Ca 0.0000 0.0000 0.0000  8 I 3.47, 2 Ca 3.56
2 P 0.5000 0.5000 0.5000  2 N 1.78
3 I 0.0000 0.5000 0.5000  2 P 2.98
4 I 0.5000 0.0000 0.5000  2 P 2.98
5 N 0.5000 0.5000 0.0000  2 P 1.78

Properties
VASP energy ... -3.81 eV/atom
SG ... P4/mmm (123)
ΔE to the lowest computed polymorph ... 0 kJ/mol of formula units
Uncorrected formation energy ... -40 meV per atom

---

# 6
CaPIN2 | PBE-GGA | optimized geometry

Cell: 4.6061 4.6061 6.5287 Å, 90.00 90.00 90.00°
Closest atoms and distances in Å follow each position.
Positions (direct):
1 Ca 0.0000 0.0000 0.0000  4 N 2.30
2 P 0.5000 0.5000 0.5000  4 I 3.26
3 I 0.0000 0.0000 0.5000  4 P 3.26, 2 Ca 3.26
4 N 0.0000 0.5000 0.0000  2 Ca 2.30
5 N 0.5000 0.0000 0.0000  2 Ca 2.30

Properties
VASP energy ... -3.58 eV/atom
SG ... P4/mmm (123)
ΔE to the lowest computed polymorph ... 391 kJ/mol of formula units
Uncorrected formation energy ... 1546 meV per atom

---

> Look up the VASP energy of the third one.

-3.79 eV/atom

---

> The lowest VASP energy belongs to which entry?

number 4

---

> What is the formula in the fourth record?

CaPIN2

---

Copy entry 4 word for word.
CaPIN2 | PBE-GGA | optimized geometry

Cell: 3.9542 3.9542 5.5515 Å, 90.00 90.00 90.00°
Closest atoms and distances in Å follow each position.
Positions (direct):
1 Ca 0.0000 0.0000 0.0000  4 I 2.80
2 P 0.5000 0.5000 0.5000  4 N 1.98
3 I 0.5000 0.5000 0.0000  2 P 2.78, 4 Ca 2.80
4 N 0.0000 0.5000 0.5000  2 P 1.98
5 N 0.5000 0.0000 0.5000  2 P 1.98

Properties
VASP energy ... -4.39 eV/atom
SG ... P4/mmm (123)
ΔE to the lowest computed polymorph ... 0 kJ/mol of formula units
Uncorrected formation energy ... 736 meV per atom